# Zn2TcGe | Alexandria | PBE-GGA | optimized geometry
# DOS at the Fermi energy = 1.1 states/eV/f.u.
data_Zn2TcGe
_chemical_formula_sum 'Zn8 Tc4 Ge4'
_cell_length_a 7.2280
_cell_length_b 7.2280
_cell_length_c 4.9971
_cell_angle_alpha 90.00
_cell_angle_beta 90.00
_cell_angle_gamma 90.00
_symmetry_space_group_name_H-M 'I -4 2 d'
_symmetry_Int_Tables_number 122
_symmetry_space_group_name_Hall 'I -4 2bw'
loop_
_atom_site_label
_atom_site_type_symbol
_atom_site_fract_x
_atom_site_fract_y
_atom_site_fract_z
Zn1 Zn 0.2484 0.2500 0.1250
Tc1 Tc 0.0000 0.0000 0.5000
Ge1 Ge 0.0000 0.0000 0.0000



# ZnTc2Ge | Alexandria | PBE-GGA | optimized geometry
# DOS at the Fermi energy = 4.7 states/eV/f.u.
# energy relative to the lowest polymorph listed for this composition = 0.000 eV per atom
data_ZnTc2Ge
_chemical_formula_sum 'Zn4 Tc8 Ge4'
_cell_length_a 6.1031
_cell_length_b 6.1031
_cell_length_c 6.1031
_cell_angle_alpha 90.00
_cell_angle_beta 90.00
_cell_angle_gamma 90.00
_symmetry_space_group_name_H-M 'F m -3 m'
_symmetry_Int_Tables_number 225
_symmetry_space_group_name_Hall '-F 4 2 3'
loop_
_atom_site_label
_atom_site_type_symbol
_atom_site_fract_x
_atom_site_fract_y
_atom_site_fract_z
Zn1 Zn 0.0000 0.0000 0.0000
Tc1 Tc 0.2500 0.2500 0.2500
Ge1 Ge 0.0000 0.0000 0.5000



# ZnTcGe | Alexandria | PBE-GGA | optimized geometry
# DOS at the Fermi energy = 1.5 states/eV/f.u.
# energy relative to the lowest polymorph listed for this composition = 0.198 eV per atom
data_ZnTcGe
_chemical_formula_sum 'Zn1 Tc1 Ge1'
_cell_length_a 4.2272
_cell_length_b 4.2272
_cell_length_c 2.9816
_cell_angle_alpha 90.00
_cell_angle_beta 90.00
_cell_angle_gamma 120.00
_symmetry_space_group_name_H-M 'P 3 m 1'
_symmetry_Int_Tables_number 156
loop_
_symmetry_equiv_pos_as_xyz
'x,y,z'
'-y,x-y,z'
'-x+y,-x,z'
'-y,-x,z'
'-x+y,y,z'
'x,x-y,z'
loop_
_atom_site_label
_atom_site_type_symbol
_atom_site_fract_x
_atom_site_fract_y
_atom_site_fract_z
Zn1 Zn 0.0000 0.0000 0.0000
Tc1 Tc 0.6667 0.3333 0.4907
Ge1 Ge 0.3333 0.6667 0.6061



| no. | V (A^3/atom) | ΔH_f (0 K) (eV per atom) |
| --- | --- | --- |
| 1 | 16.3 | 0.371 |
| 2 | 14.2 | 0.104 |
| 3 | 15.4 | 0.161 |